First-principles (PBE) data for crystalline PaCrReSi at its relaxed geometry, as listed in the Alexandria database.

## Properties
Space-group type: F-43m (216)
Formation energy without anion corrections in meV per atom: 25

a b c (Å): 4.5390 4.5390 4.5390
angles (deg): 60.00 60.00 60.00
Last column: nearest neighbours and their distance in Å.
Positions (direct):
1 Si 0.0000 0.0000 0.0000  4 Cr 2.78, 4 Re 2.78
2 Re 0.2500 0.2500 0.2500  4 Pa 2.78, 4 Si 2.78
3 Cr 0.7500 0.7500 0.7500  4 Pa 2.78, 4 Si 2.78
4 Pa 0.5000 0.5000 0.5000  4 Cr 2.78, 4 Re 2.78



First-principles (PBE) data for crystalline PaCrReSi2 at its relaxed geometry, as listed in the Alexandria database.

## Properties
Space-group type: I-4m2 (119)
Formation energy without anion corrections in meV per atom: -435

a b c (Å): 4.0612 4.0612 5.8418
angles (deg): 110.34 110.34 90.00
Last column: nearest neighbours and their distance in Å.
Positions (direct):
1 Cr 0.7500 0.2500 0.5000  4 Si 2.44
2 Si 0.3822 0.3822 0.7644  1 Si 2.40, 2 Re 2.44, 2 Cr 2.44
3 Re 0.2500 0.7500 0.5000  4 Si 2.44
4 Si 0.6178 0.6178 0.2356  1 Si 2.40, 2 Cr 2.44, 2 Re 2.44
5 Pa 0.0000 0.0000 0.0000  8 Si 3.11, 4 Cr 3.25, 4 Re 3.25



First-principles (PBE) data for crystalline PaCrReTc at its relaxed geometry, as listed in the Alexandria database.

## Properties
Space-group type: F-43m (216)
DFT formation energy in eV/atom: 0.2067

a b c (Å): 4.5878 4.5878 4.5878
angles (deg): 60.00 60.00 60.00
Last column: nearest neighbours and their distance in Å.
Positions (direct):
1 Pa 0.5000 0.5000 0.5000  4 Re 2.81, 4 Tc 2.81
2 Re 0.7500 0.7500 0.7500  4 Cr 2.81, 4 Pa 2.81
3 Tc 0.2500 0.2500 0.2500  4 Pa 2.81, 4 Cr 2.81
4 Cr 0.0000 0.0000 0.0000  4 Tc 2.81, 4 Re 2.81



First-principles (PBE) data for crystalline PaTiCrRe at its relaxed geometry, as listed in the Alexandria database.

## Properties
Space-group type: F-43m (216)
DFT formation energy in eV/atom: -0.0219

a b c (Å): 4.5830 4.5830 4.5830
angles (deg): 60.00 60.00 60.00
Last column: nearest neighbours and their distance in Å.
Positions (direct):
1 Cr 0.5000 0.5000 0.5000  4 Ti 2.81, 4 Pa 2.81
2 Re 0.0000 0.0000 0.0000  4 Pa 2.81, 4 Ti 2.81
3 Pa 0.2500 0.2500 0.2500  4 Cr 2.81, 4 Re 2.81
4 Ti 0.7500 0.7500 0.7500  4 Cr 2.81, 4 Re 2.81